VASP calculation (PBE-GGA) on CeTl2Zn3F12 after structural relaxation.

The value obtained for the formation energy without anion corrections is -2.555 eV per atom. Its space-group type is R-3m (166).

a = 7.2509 Å, b = 7.2509 Å, c = 7.2509 Å
α = 63.10°, β = 63.10°, γ = 63.10°
Last column: nearest neighbours and their distance in Å.
Fractional positions:
Ce1 0.0000 0.0000 0.0000  6 F 2.27
Tl1 0.6094 0.6094 0.6094  6 F 2.84-3.15
Tl2 0.3906 0.3906 0.3906  6 F 2.84-3.15
Zn1 0.5000 0.0000 0.0000  6 F 2.00-2.13
Zn2 0.0000 0.5000 0.0000  6 F 2.00-2.13
Zn3 0.0000 0.0000 0.5000  6 F 2.00-2.13
F1 0.2752 0.2752 0.8964  2 Zn 2.00
F2 0.8808 0.8808 0.3692  1 Zn 2.13, 1 Ce 2.27
F3 0.3692 0.8808 0.8808  1 Zn 2.13, 1 Ce 2.27
F4 0.8964 0.2752 0.2752  2 Zn 2.00
F5 0.8808 0.3692 0.8808  1 Zn 2.13, 1 Ce 2.27
F6 0.2752 0.8964 0.2752  2 Zn 2.00
F7 0.7248 0.7248 0.1036  2 Zn 2.00
F8 0.1192 0.1192 0.6308  1 Zn 2.13, 1 Ce 2.27
F9 0.6308 0.1192 0.1192  1 Zn 2.13, 1 Ce 2.27
F10 0.1036 0.7248 0.7248  2 Zn 2.00
F11 0.1192 0.6308 0.1192  1 Zn 2.13, 1 Ce 2.27
F12 0.7248 0.1036 0.7248  2 Zn 2.00

VASP calculation (PBE-GGA) on Ce2NdIn2 after structural relaxation.

Its space-group type is P4/mbm (127). As for the formation energy: -240 meV per atom.

a = 3.7155 Å, b = 9.0780 Å, c = 9.0780 Å
α = 90.00°, β = 90.00°, γ = 90.00°
Last column: nearest neighbours and their distance in Å.
Fractional positions:
Ce1 0.5000 0.1149 0.6149  1 Ce 2.95, 6 In 3.23-3.30
Ce2 0.5000 0.6149 0.8851  1 Ce 2.95, 6 In 3.23-3.30
Ce3 0.5000 0.8851 0.3851  1 Ce 2.95, 6 In 3.23-3.30
Ce4 0.5000 0.3851 0.1149  1 Ce 2.95, 6 In 3.23-3.30
Nd1 0.0000 0.0000 0.0000  4 In 3.34, 2 Nd 3.72
Nd2 0.0000 0.5000 0.5000  4 In 3.34, 2 Nd 3.72
In1 0.0000 0.3209 0.8209  6 Ce 3.23-3.30, 2 Nd 3.34
In2 0.0000 0.8209 0.6791  6 Ce 3.23-3.30, 2 Nd 3.34
In3 0.0000 0.6791 0.1791  6 Ce 3.23-3.30, 2 Nd 3.34
In4 0.0000 0.1791 0.3209  6 Ce 3.23-3.30, 2 Nd 3.34

| no. | density (g/cm3) |
| --- | --- |
| 1 | 5.61 |
| 2 | 7.09 |